1.
VASP calculation (PBE-GGA) on CuAs2Pt after structural relaxation.

Geometry as POSCAR:
```
CuAs2Pt
1.0
5.5870 0.2207 0.1866
2.6966 4.8982 -0.1866
-3.5797 -3.4691 2.5396
As Pt Cu
2 1 1
Cartesian
0.1877 0.1160 0.0000
2.8863 -0.4608 1.3631
1.6683 2.0183 1.1765
4.1035 2.5358 0.0000
```

Values from the calculation:
formation enthalpy at 0 K = 108 meV per atom
calculated volume = 66 Å³/cell
crystal system = orthorhombic
space group = Imm2 (44)
relative energy among the computed polymorphs = 16.2 kJ per mole of atoms
mass density = 10.27 g cm⁻³



2.
VASP calculation (PBE-GGA) on LaNdLuTl after structural relaxation.

Geometry as POSCAR:
```
LaNdLuTl
1.0
-0.2737 -2.3154 -5.0960
-3.9200 -3.8438 -1.1243
-4.2554 1.2559 -3.4234
Tl Nd Lu La
1 1 1 1
Cartesian
0.0000 0.0000 0.0000
-2.1123 -1.2259 -2.4109
-4.2245 -2.4517 -4.8219
-6.3368 -3.6776 -7.2328
```

Values from the calculation:
formation enthalpy at 0 K = -91 meV per atom
calculated volume = 124 Å³/cell
crystal system = cubic
space group = F-43m (216)
mass density = 8.84 g cm⁻³



Question: What is the calculated volume in the first record?
Answer: 66 Å³/cell